No. 1
Entry from the Alexandria database: a relaxed Zr5Mn4 crystal (PBE).

The energy of formation is 78 meV per atom. Its uncorrected energy is -8.746 eV/atom. Its energy above the lowest structure with this stoichiometry is 0.000 eV/atom. Its density of states at the Fermi level is 1.06 states/eV per atom.

a b c (Å): 8.1421 8.1421 5.7344
angles (deg): 90.00 90.00 60.00
Closest atoms and distances in Å follow each position.
Atoms (fractional coordinates):
Zr1 0.0000 0.2719 0.2500  5 Mn 2.64-2.81
Zr2 0.3333 0.3333 0.5000  2 Zr 2.87, 6 Mn 2.91
Zr3 0.2719 0.7281 0.2500  5 Mn 2.64-2.81
Zr4 0.7281 0.2719 0.7500  5 Mn 2.64-2.81
Zr5 0.7281 0.0000 0.2500  5 Mn 2.64-2.81
Zr6 0.3333 0.3333 0.0000  2 Zr 2.87, 6 Mn 2.91
Zr7 0.2719 0.0000 0.7500  5 Mn 2.64-2.81
Zr8 0.6667 0.6667 0.0000  2 Zr 2.87, 6 Mn 2.91
Zr9 0.0000 0.7281 0.7500  5 Mn 2.64-2.81
Zr10 0.6667 0.6667 0.5000  2 Zr 2.87, 6 Mn 2.91
Mn1 0.3830 0.6170 0.7500  9 Zr 2.78-3.01
Mn2 0.3830 0.0000 0.2500  9 Zr 2.78-3.01
Mn3 0.6170 0.0000 0.7500  9 Zr 2.78-3.01
Mn4 0.0000 0.6170 0.2500  9 Zr 2.78-3.01
Mn5 0.6170 0.3830 0.2500  9 Zr 2.78-3.01
Mn6 0.0000 0.3830 0.7500  9 Zr 2.78-3.01
Mn7 0.0000 0.0000 0.0000  6 Zr 2.64, 2 Mn 2.87
Mn8 0.0000 0.0000 0.5000  6 Zr 2.64, 2 Mn 2.87

=====

No. 2
Entry from the Alexandria database: a relaxed SrTlCd2 crystal (PBE).

The energy of formation is -186 meV per atom. Its uncorrected energy is -1.656 eV/atom. Its density of states at the Fermi level is 0.57 states/eV per atom.

a b c (Å): 4.9638 3.7359 6.5680
angles (deg): 78.14 90.00 90.00
Closest atoms and distances in Å follow each position.
Atoms (fractional coordinates):
Sr1 0.0000 0.4896 0.4815  7 Cd 3.45-3.74, 4 Tl 3.55-3.77, 2 Sr 3.74
Tl1 0.5000 0.8227 0.7809  3 Cd 3.15-3.34
Cd1 0.0000 0.0921 0.0041  2 Cd 2.91, 2 Tl 3.15
Cd2 0.5000 0.0956 0.2335  2 Cd 2.91